A relaxed structure of Gd2ScAl. Source: Alexandria, functional PBE.

The mass density is 6.2 g cm⁻³. The calculation puts the total magnetization at 15.33 μB per formula unit. The calculation puts the excess energy over the best structure of this formula in the dataset at 1.843 kcal/mol of atoms. The calculation puts the raw total energy at -9.68 eV/atom. For the formation energy, the calculation gives -0.117 eV per atom.

It has space group Fm-3m (No. 225), with a = 7.441 Å, b = 7.441 Å, c = 7.441 Å, α = 90.00°, β = 90.00° and γ = 90.00°. The asymmetric unit holds Gd at (0.250, 0.250, 0.250), Sc at (0.000, 0.000, 0.000) and Al at (0.000, 0.000, 0.500).